# SrTlCr

A relaxed SrTlCr crystal (PBE, the Alexandria database).

**Raw total energy**: -11.2 eV/f.u.
**DFT formation energy**: 0.832 eV per atom
**Space-group type**: F-43m, No. 216

Unit cell a=5.352 b=5.352 c=5.352 alpha=60.00 beta=60.00 gamma=60.00
Fractional positions:
Sr1 0.750 0.750 0.750
Cr1 0.500 0.500 0.500
Tl1 0.000 0.000 0.000